Record 1
The following is a DFT calculation (PBE-GGA) of Sm4ErTl3 after structural relaxation.

a b c (Å): 5.4555 5.4555 27.9419
angles (deg): 90.00 90.00 120.00
Space group R-3m (No. 166, hexagonal axes)
One atom of each set of equivalent atoms:
Sm1 0.0000 0.0000 0.1129 x6
Sm2 0.0000 0.0000 0.3692 x6
Er1 0.0000 0.0000 0.5000 x3
Tl1 0.0000 0.0000 0.0000 x3
Tl2 0.0000 0.0000 0.2340 x6

Results
Formation enthalpy at 0 K, eV per atom: -0.23
Theoretical density, Mg/m³: 9.56
Total magnetic moment, μB per cell: 4.3
Density of states at the Fermi level, states/eV/atom: 1.29

---

Record 2
The following is a DFT calculation (PBE-GGA) of Sm3Er2Tl6 after structural relaxation.

a b c (Å): 4.7979 4.7979 29.1889
angles (deg): 90.00 90.00 90.00
Space group I4/mmm (No. 139)
One atom of each set of equivalent atoms:
Sm1 0.0000 0.0000 0.0000 x2
Sm2 0.0000 0.0000 0.1988 x4
Er1 0.0000 0.0000 0.4464 x4
Tl1 0.0000 0.0000 0.3056 x4
Tl2 0.0000 0.5000 0.1172 x8

Results
Formation enthalpy at 0 K, eV per atom: -0.08
Theoretical density, Mg/m³: 9.94
Total magnetic moment, μB per cell: 0.0
Density of states at the Fermi level, states/eV/atom: 0.78

---

Record 3
The following is a DFT calculation (PBE-GGA) of Sm5ErTl4 after structural relaxation.

a b c (Å): 3.6745 3.6745 22.0141
angles (deg): 90.00 90.00 90.00
Space group P4/mmm (No. 123)
One atom of each set of equivalent atoms:
Sm1 0.0000 0.0000 0.0000 x1
Sm2 0.0000 0.0000 0.1944 x2
Sm3 0.0000 0.0000 0.3878 x2
Er1 0.5000 0.5000 0.5000 x1
Tl1 0.5000 0.5000 0.0971 x2
Tl2 0.5000 0.5000 0.2913 x2

Results
Formation enthalpy at 0 K, eV per atom: -0.29
Theoretical density, Mg/m³: 9.70
Total magnetic moment, μB per cell: 0.0
Density of states at the Fermi level, states/eV/atom: 1.17

---

Record 4
The following is a DFT calculation (PBE-GGA) of SmEr5Tl6 after structural relaxation.

a b c (Å): 9.8344 11.1999 6.4856
angles (deg): 90.00 102.77 90.00
Space group C2/m (No. 12)
One atom of each set of equivalent atoms:
Sm1 0.0000 0.0000 0.0000 x2
Er1 0.0000 0.1666 0.5000 x4
Er2 0.0000 0.3353 0.0000 x4
Er3 0.0000 0.5000 0.5000 x2
Tl1 0.2481 0.3303 0.7465 x8
Tl2 0.2487 0.5000 0.2572 x4

Results
Formation enthalpy at 0 K, eV per atom: -0.24
Theoretical density, Mg/m³: 10.55
Total magnetic moment, μB per cell: 0.0
Density of states at the Fermi level, states/eV/atom: 0.92

---

Record 5
The following is a DFT calculation (PBE-GGA) of Sm2ErTl after structural relaxation.

a b c (Å): 5.5626 5.5626 3.8994
angles (deg): 90.00 90.00 90.00
Space group P4/mmm (No. 123)
One atom of each set of equivalent atoms:
Sm1 0.0000 0.5000 0.0000 x2
Er1 0.0000 0.0000 0.5000 x1
Tl1 0.5000 0.5000 0.5000 x1

Results
Formation enthalpy at 0 K, eV per atom: -0.10
Theoretical density, Mg/m³: 9.25
Total magnetic moment, μB per cell: 0.0
Density of states at the Fermi level, states/eV/atom: 1.59

---

Record 6
The following is a DFT calculation (PBE-GGA) of Sm2ErTmTl4 after structural relaxation.

a b c (Å): 5.3887 5.3887 26.4686
angles (deg): 90.00 90.00 120.00
Space group R-3m (No. 166, hexagonal axes)
One atom of each set of equivalent atoms:
Sm1 0.0000 0.0000 0.2498 x6
Er1 0.0000 0.0000 0.0000 x3
Tm1 0.0000 0.0000 0.5000 x3
Tl1 0.0000 0.0000 0.1252 x6
Tl2 0.0000 0.0000 0.3751 x6

Results
Formation enthalpy at 0 K, eV per atom: -0.34
Theoretical density, Mg/m³: 10.89
Total magnetic moment, μB per cell: 0.0
Density of states at the Fermi level, states/eV/atom: 0.78

---

Record 7
The following is a DFT calculation (PBE-GGA) of SmErTm2Tl4 after structural relaxation.

a b c (Å): 5.3511 5.3511 26.3325
angles (deg): 90.00 90.00 120.00
Space group R-3m (No. 166, hexagonal axes)
One atom of each set of equivalent atoms:
Sm1 0.0000 0.0000 0.0000 x3
Er1 0.0000 0.0000 0.5000 x3
Tm1 0.0000 0.0000 0.2494 x6
Tl1 0.0000 0.0000 0.1262 x6
Tl2 0.0000 0.0000 0.3763 x6

Results
Formation enthalpy at 0 K, eV per atom: -0.32
Theoretical density, Mg/m³: 11.24
Total magnetic moment, μB per cell: 0.0
Density of states at the Fermi level, states/eV/atom: 0.79

---

Record 8
The following is a DFT calculation (PBE-GGA) of SmEr2TmTl4 after structural relaxation.

a b c (Å): 5.3569 5.3569 26.3542
angles (deg): 90.00 90.00 120.00
Space group R-3m (No. 166, hexagonal axes)
One atom of each set of equivalent atoms:
Sm1 0.0000 0.0000 0.0000 x3
Er1 0.0000 0.0000 0.2492 x6
Tm1 0.0000 0.0000 0.5000 x3
Tl1 0.0000 0.0000 0.1263 x6
Tl2 0.0000 0.0000 0.3765 x6

Results
Formation enthalpy at 0 K, eV per atom: -0.32
Theoretical density, Mg/m³: 11.19
Total magnetic moment, μB per cell: 0.0
Density of states at the Fermi level, states/eV/atom: 0.78

---

Record 9
The following is a DFT calculation (PBE-GGA) of SmYErTl after structural relaxation.

a b c (Å): 7.7748 7.7748 7.7748
angles (deg): 90.00 90.00 90.00
Space group F-43m (No. 216)
One atom of each set of equivalent atoms:
Sm1 0.0000 0.0000 0.0000 x4
Y1 0.0000 0.0000 0.5000 x4
Er1 0.2500 0.2500 0.7500 x4
Tl1 0.2500 0.2500 0.2500 x4

Results
Formation enthalpy at 0 K, eV per atom: -0.06
Theoretical density, Mg/m³: 8.63
Total magnetic moment, μB per cell: 5.5
Density of states at the Fermi level, states/eV/atom: 1.28

---

Record 10
The following is a DFT calculation (PBE-GGA) of SmYErTl after structural relaxation.

a b c (Å): 4.8356 4.8791 4.9177
angles (deg): 90.00 90.00 90.00
Space group Pmmm (No. 47)
One atom of each set of equivalent atoms:
Sm1 0.0000 0.0000 0.0000 x1
Y1 0.5000 0.0000 0.5000 x1
Er1 0.5000 0.5000 0.0000 x1
Tl1 0.0000 0.5000 0.5000 x1

Results
Formation enthalpy at 0 K, eV per atom: -0.19
Theoretical density, Mg/m³: 8.74
Total magnetic moment, μB per cell: 0.9
Density of states at the Fermi level, states/eV/atom: 1.21

---

Record 11
The following is a DFT calculation (PBE-GGA) of Sm2YErTl2 after structural relaxation.

a b c (Å): 5.1233 10.0909 6.8750
angles (deg): 90.00 90.00 90.00
Space group Pmc2_1 (No. 26)
One atom of each set of equivalent atoms:
Sm1 0.0000 0.0435 0.0000 x2
Sm2 0.5000 0.1868 0.2761 x2
Y1 0.5000 0.4573 0.9056 x2
Er1 0.0000 0.3140 0.6222 x2
Tl1 0.0000 0.3735 0.1636 x2
Tl2 0.5000 0.1417 0.7436 x2

Results
Formation enthalpy at 0 K, eV per atom: -0.28
Theoretical density, Mg/m³: 9.02
Total magnetic moment, μB per cell: 0.0
Density of states at the Fermi level, states/eV/atom: 1.08

---

Record 12
The following is a DFT calculation (PBE-GGA) of SmYEr2Tl2 after structural relaxation.

a b c (Å): 5.1155 10.0010 6.7901
angles (deg): 90.00 90.00 90.00
Space group Pmc2_1 (No. 26)
One atom of each set of equivalent atoms:
Sm1 0.0000 0.0407 0.0000 x2
Y1 0.5000 0.1906 0.7215 x2
Er1 0.0000 0.3170 0.3726 x2
Er2 0.5000 0.4577 0.0895 x2
Tl1 0.0000 0.3681 0.8363 x2
Tl2 0.5000 0.1389 0.2571 x2

Results
Formation enthalpy at 0 K, eV per atom: -0.27
Theoretical density, Mg/m³: 9.39
Total magnetic moment, μB per cell: 0.0
Density of states at the Fermi level, states/eV/atom: 1.00

---

Record 13
The following is a DFT calculation (PBE-GGA) of SmY2ErTl2 after structural relaxation.

a b c (Å): 5.1038 9.9923 6.8925
angles (deg): 90.00 90.00 90.00
Space group Pmc2_1 (No. 26)
One atom of each set of equivalent atoms:
Sm1 0.0000 0.0454 0.0000 x2
Y1 0.0000 0.3150 0.3810 x2
Y2 0.5000 0.4534 0.0945 x2
Er1 0.5000 0.1909 0.7174 x2
Tl1 0.0000 0.3671 0.8381 x2
Tl2 0.5000 0.1325 0.2620 x2

Results
Formation enthalpy at 0 K, eV per atom: -0.29
Theoretical density, Mg/m³: 8.54
Total magnetic moment, μB per cell: 0.0
Density of states at the Fermi level, states/eV/atom: 1.07

---

Record 14
The following is a DFT calculation (PBE-GGA) of SmErTlZn after structural relaxation.

a b c (Å): 3.6828 3.6828 7.4925
angles (deg): 90.00 90.00 90.00
Space group P4mm (No. 99)
One atom of each set of equivalent atoms:
Sm1 0.0000 0.0000 0.0000 x1
Er1 0.0000 0.0000 0.5435 x1
Tl1 0.5000 0.5000 0.2821 x1
Zn1 0.5000 0.5000 0.7571 x1

Results
Formation enthalpy at 0 K, eV per atom: -0.35
Theoretical density, Mg/m³: 9.60
Total magnetic moment, μB per cell: 0.0
Density of states at the Fermi level, states/eV/atom: 0.84

---

Record 15
The following is a DFT calculation (PBE-GGA) of SmErTlZn after structural relaxation.

a b c (Å): 7.4409 7.4409 7.4409
angles (deg): 90.00 90.00 90.00
Space group F-43m (No. 216)
One atom of each set of equivalent atoms:
Sm1 0.0000 0.0000 0.0000 x4
Er1 0.0000 0.0000 0.5000 x4
Tl1 0.2500 0.2500 0.2500 x4
Zn1 0.2500 0.2500 0.7500 x4

Results
Formation enthalpy at 0 K, eV per atom: -0.32
Theoretical density, Mg/m³: 9.47
Total magnetic moment, μB per cell: 0.0
Density of states at the Fermi level, states/eV/atom: 1.06

---

Record 16
The following is a DFT calculation (PBE-GGA) of Sm11Er9Tm4 after structural relaxation.

a b c (Å): 16.7828 25.4525 3.6187
angles (deg): 90.00 90.00 90.00
Space group Cmmm (No. 65)
One atom of each set of equivalent atoms:
Sm1 0.0000 0.0000 0.0000 x2
Sm2 0.0000 0.1606 0.0000 x4
Sm3 0.0000 0.3687 0.0000 x4
Sm4 0.2072 0.5000 0.0000 x4
Sm5 0.2244 0.1812 0.0000 x8
Er1 0.0000 0.5000 0.5000 x2
Er2 0.1021 0.2679 0.5000 x8
Er3 0.1416 0.0727 0.5000 x8
Tm1 0.1570 0.3983 0.5000 x8

Results
Formation enthalpy at 0 K, eV per atom: 0.05
Theoretical density, Mg/m³: 8.24
Total magnetic moment, μB per cell: 0.0
Density of states at the Fermi level, states/eV/atom: 1.26

---

Record 17
The following is a DFT calculation (PBE-GGA) of SmEr5Tm5 after structural relaxation.

a b c (Å): 18.6361 5.8267 6.8559
angles (deg): 90.00 110.64 90.00
Space group C2/m (No. 12)
One atom of each set of equivalent atoms:
Sm1 0.0000 0.0000 0.0000 x2
Er1 0.0000 0.5000 0.0000 x2
Er2 0.1799 0.0000 0.4269 x4
Er3 0.1795 0.0000 0.9348 x4
Tm1 0.0000 0.0000 0.5000 x2
Tm2 0.1247 0.5000 0.6303 x4
Tm3 0.1693 0.5000 0.1739 x4

Results
Formation enthalpy at 0 K, eV per atom: 0.29
Theoretical density, Mg/m³: 8.73
Total magnetic moment, μB per cell: 1.4
Density of states at the Fermi level, states/eV/atom: 1.56

---

Record 18
The following is a DFT calculation (PBE-GGA) of Sm16Er7Tm6 after structural relaxation.

a b c (Å): 15.8035 15.8035 15.8035
angles (deg): 90.00 90.00 90.00
Space group Fm-3m (No. 225)
One atom of each set of equivalent atoms:
Sm1 0.1242 0.1242 0.1242 x32
Sm2 0.1490 0.1490 0.3510 x32
Er1 0.0000 0.0000 0.0000 x4
Er2 0.0000 0.2500 0.2500 x24
Tm1 0.0000 0.0000 0.2662 x24

Results
Formation enthalpy at 0 K, eV per atom: 0.22
Theoretical density, Mg/m³: 7.72
Total magnetic moment, μB per cell: 0.0
Density of states at the Fermi level, states/eV/atom: 1.40

---

Record 19
The following is a DFT calculation (PBE-GGA) of SmEr14Tm after structural relaxation.

a b c (Å): 11.3358 7.0567 12.2319
angles (deg): 90.00 90.00 90.00
Space group Amm2 (No. 38)
One atom of each set of equivalent atoms:
Sm1 0.0000 0.0000 0.0000 x2
Er1 0.0000 0.2502 0.2501 x4
Er2 0.2497 0.0000 0.3337 x4
Er3 0.2513 0.2504 0.0837 x8
Er4 0.2516 0.0000 0.8334 x4
Er5 0.5000 0.0000 0.1672 x2
Er6 0.5000 0.0000 0.6672 x2
Er7 0.5000 0.2497 0.4171 x4
Tm1 0.0000 0.0000 0.5002 x2

Results
Formation enthalpy at 0 K, eV per atom: 0.01
Theoretical density, Mg/m³: 9.03
Total magnetic moment, μB per cell: 0.0
Density of states at the Fermi level, states/eV/atom: 1.34

---

Record 20
The following is a DFT calculation (PBE-GGA) of Sm19Er4Tm6 after structural relaxation.

a b c (Å): 12.5533 12.5533 12.5533
angles (deg): 90.00 90.00 90.00
Space group I23 (No. 197)
One atom of each set of equivalent atoms:
Sm1 0.0000 0.0000 0.0000 x2
Sm2 0.0000 0.0000 0.2620 x12
Sm3 0.0627 0.2796 0.7369 x24
Er1 0.1791 0.1791 0.1791 x8
Tm1 0.0000 0.1257 0.5000 x12

Results
Formation enthalpy at 0 K, eV per atom: 0.38
Theoretical density, Mg/m³: 7.62
Total magnetic moment, μB per cell: 0.0
Density of states at the Fermi level, states/eV/atom: 1.57

---

Record 21
The following is a DFT calculation (PBE-GGA) of SmEr8Tm6 after structural relaxation.

a b c (Å): 8.9174 8.9174 20.3290
angles (deg): 90.00 90.00 120.00
Space group R-3 (No. 148, hexagonal axes)
One atom of each set of equivalent atoms:
Sm1 0.0000 0.0000 0.0000 x3
Er1 0.0000 0.0000 0.4237 x6
Er2 0.0812 0.5294 0.8089 x18
Tm1 0.0645 0.8183 0.7071 x18

Results
Formation enthalpy at 0 K, eV per atom: 0.14
Theoretical density, Mg/m³: 8.90
Total magnetic moment, μB per cell: 0.0
Density of states at the Fermi level, states/eV/atom: 1.50